# YSn3Ru3, optimized geometry, DFT PBE
data_YSn3Ru3
_cell_length_a 7.150
_cell_length_b 7.150
_cell_length_c 7.150
_cell_angle_alpha 90.00
_cell_angle_beta 90.00
_cell_angle_gamma 90.00
_space_group_name_H-M_alt 'P 1'
_space_group_IT_number 1
loop_
_space_group_symop_operation_xyz
'x,y,z'
loop_
_atom_site_label
_atom_site_type_symbol
_atom_site_fract_x
_atom_site_fract_y
_atom_site_fract_z
Ru1 Ru 0.250 0.500 0.000
Ru2 Ru 0.000 0.250 0.500
Ru3 Ru 0.500 0.000 0.750
Ru4 Ru 0.000 0.750 0.500
Ru5 Ru 0.750 0.500 0.000
Ru6 Ru 0.500 0.000 0.250
Sn1 Sn 0.500 0.750 0.000
Sn2 Sn 0.750 0.000 0.500
Sn3 Sn 0.250 0.000 0.500
Sn4 Sn 0.500 0.250 0.000
Sn5 Sn 0.000 0.500 0.250
Sn6 Sn 0.000 0.500 0.750
Y1 Y 0.000 0.000 0.000
Y2 Y 0.500 0.500 0.500
# Spin magnetization, μB/f.u.: 0.0
# Energy of formation from the pure elements, eV per atom: 0.52

=====

# HfBiF2, optimized geometry, DFT PBE
data_HfBiF2
_cell_length_a 10.187
_cell_length_b 10.187
_cell_length_c 10.187
_cell_angle_alpha 18.57
_cell_angle_beta 18.57
_cell_angle_gamma 18.57
_space_group_name_H-M_alt 'P 1'
_space_group_IT_number 1
loop_
_space_group_symop_operation_xyz
'x,y,z'
loop_
_atom_site_label
_atom_site_type_symbol
_atom_site_fract_x
_atom_site_fract_y
_atom_site_fract_z
Hf1 Hf 0.000 0.000 0.000
F1 F 0.065 0.065 0.065
F2 F 0.935 0.935 0.935
Bi1 Bi 0.500 0.500 0.500
# Relative energy among the computed polymorphs, kJ/mol of formula units: 36.7
# Spin magnetization, μB/f.u.: 0.0

=====

# Tb6YS8, optimized geometry, DFT PBE
data_Tb6YS8
_cell_length_a 7.838
_cell_length_b 7.838
_cell_length_c 7.838
_cell_angle_alpha 60.00
_cell_angle_beta 60.00
_cell_angle_gamma 60.00
_space_group_name_H-M_alt 'P 1'
_space_group_IT_number 1
loop_
_space_group_symop_operation_xyz
'x,y,z'
loop_
_atom_site_label
_atom_site_type_symbol
_atom_site_fract_x
_atom_site_fract_y
_atom_site_fract_z
Tb1 Tb 0.500 0.000 0.500
Tb2 Tb 0.000 0.500 0.500
Tb3 Tb 0.500 0.500 0.000
Tb4 Tb 0.000 0.500 0.000
Tb5 Tb 0.000 0.000 0.500
Tb6 Tb 0.500 0.000 0.000
S1 S 0.750 0.750 0.250
S2 S 0.250 0.750 0.250
S3 S 0.250 0.750 0.750
S4 S 0.750 0.250 0.250
S5 S 0.750 0.750 0.750
S6 S 0.250 0.250 0.750
S7 S 0.750 0.250 0.750
S8 S 0.250 0.250 0.250
Y1 Y 0.000 0.000 0.000
# Spin magnetization, μB/f.u.: 0.0
# E_tot, eV/cell: -98.19

=====

# UIn3I2Cl6, optimized geometry, DFT PBE
data_UIn3I2Cl6
_cell_length_a 6.443
_cell_length_b 8.876
_cell_length_c 9.313
_cell_angle_alpha 118.46
_cell_angle_beta 86.39
_cell_angle_gamma 90.00
_space_group_name_H-M_alt 'P 1'
_space_group_IT_number 1
loop_
_space_group_symop_operation_xyz
'x,y,z'
loop_
_atom_site_label
_atom_site_type_symbol
_atom_site_fract_x
_atom_site_fract_y
_atom_site_fract_z
Cl1 Cl 0.276 0.136 0.272
Cl2 Cl 0.721 0.857 0.126
Cl3 Cl 0.279 0.143 0.874
Cl4 Cl 0.279 0.731 0.874
Cl5 Cl 0.724 0.864 0.728
Cl6 Cl 0.721 0.269 0.126
U1 U 0.500 0.000 0.000
I1 I 0.179 0.676 0.352
I2 I 0.821 0.324 0.648
In1 In 0.000 0.500 0.000
In2 In 0.500 0.500 0.500
In3 In 0.500 0.000 0.500
# Spin magnetization, μB/f.u.: 1.2
# E_tot, eV/cell: -46.80

=====

# Tb5TmAg4, optimized geometry, DFT PBE
data_Tb5TmAg4
_cell_length_a 3.619
_cell_length_b 3.619
_cell_length_c 19.694
_cell_angle_alpha 90.00
_cell_angle_beta 90.00
_cell_angle_gamma 90.00
_space_group_name_H-M_alt 'P 1'
_space_group_IT_number 1
loop_
_space_group_symop_operation_xyz
'x,y,z'
loop_
_atom_site_label
_atom_site_type_symbol
_atom_site_fract_x
_atom_site_fract_y
_atom_site_fract_z
Ag1 Ag 0.000 0.000 0.594
Ag2 Ag 0.000 0.000 0.783
Ag3 Ag 0.000 0.000 0.217
Ag4 Ag 0.000 0.000 0.406
Tb1 Tb 0.500 0.500 0.500
Tb2 Tb 0.500 0.500 0.124
Tb3 Tb 0.500 0.500 0.876
Tb4 Tb 0.500 0.500 0.689
Tb5 Tb 0.500 0.500 0.311
Tm1 Tm 0.000 0.000 0.000
# Spin magnetization, μB/f.u.: 0.0
# Energy of formation from the pure elements, eV per atom: -0.24

=====

# LiNb2SnTe, optimized geometry, DFT PBE
data_LiNb2SnTe
_cell_length_a 5.124
_cell_length_b 5.875
_cell_length_c 5.124
_cell_angle_alpha 90.00
_cell_angle_beta 90.00
_cell_angle_gamma 90.00
_space_group_name_H-M_alt 'P 1'
_space_group_IT_number 1
loop_
_space_group_symop_operation_xyz
'x,y,z'
loop_
_atom_site_label
_atom_site_type_symbol
_atom_site_fract_x
_atom_site_fract_y
_atom_site_fract_z
Li1 Li 0.500 0.500 0.500
Sn1 Sn 0.000 0.500 0.000
Nb1 Nb 0.000 0.000 0.500
Nb2 Nb 0.500 0.000 0.000
Te1 Te 0.000 0.000 0.000
# Spin magnetization, μB/f.u.: 1.5
# E_tot, eV/cell: -23.21

=====

# RbAg3As, optimized geometry, DFT PBE
data_RbAg3As
_cell_length_a 5.226
_cell_length_b 5.226
_cell_length_c 5.226
_cell_angle_alpha 90.00
_cell_angle_beta 90.00
_cell_angle_gamma 90.00
_space_group_name_H-M_alt 'P 1'
_space_group_IT_number 1
loop_
_space_group_symop_operation_xyz
'x,y,z'
loop_
_atom_site_label
_atom_site_type_symbol
_atom_site_fract_x
_atom_site_fract_y
_atom_site_fract_z
As1 As 0.000 0.000 0.000
Rb1 Rb 0.500 0.500 0.500
Ag1 Ag 0.000 0.000 0.500
Ag2 Ag 0.000 0.500 0.000
Ag3 Ag 0.500 0.000 0.000
# Relative energy among the computed polymorphs, kJ/mol of formula units: 0.0
# Spin magnetization, μB/f.u.: 0.0
# Energy of formation from the pure elements, eV per atom: 0.08

=====

# NdTm2Au6, optimized geometry, DFT PBE
data_NdTm2Au6
_cell_length_a 5.286
_cell_length_b 8.848
_cell_length_c 8.848
_cell_angle_alpha 76.60
_cell_angle_beta 80.92
_cell_angle_gamma 80.92
_space_group_name_H-M_alt 'P 1'
_space_group_IT_number 1
loop_
_space_group_symop_operation_xyz
'x,y,z'
loop_
_atom_site_label
_atom_site_type_symbol
_atom_site_fract_x
_atom_site_fract_y
_atom_site_fract_z
Tm1 Tm 0.587 0.456 0.210
Tm2 Tm 0.913 0.790 0.544
Tm3 Tm 0.087 0.210 0.456
Tm4 Tm 0.413 0.544 0.790
Au1 Au 0.854 0.644 0.897
Au2 Au 0.354 0.897 0.644
Au3 Au 0.025 0.563 0.325
Au4 Au 0.314 0.752 0.018
Au5 Au 0.475 0.675 0.437
Au6 Au 0.186 0.982 0.248
Au7 Au 0.146 0.356 0.103
Au8 Au 0.975 0.437 0.675
Au9 Au 0.814 0.018 0.752
Au10 Au 0.686 0.248 0.982
Au11 Au 0.525 0.325 0.563
Au12 Au 0.646 0.103 0.356
Nd1 Nd 0.250 0.126 0.874
Nd2 Nd 0.750 0.874 0.126
# Spin magnetization, μB/f.u.: 0.0
# Energy of formation from the pure elements, eV per atom: -0.73